InGa2Sb (GGA-PBE, relaxed); distance to the lowest polymorph of the same formula = 9 meV per atom; crystal system = tetragonal; theoretical density = 6.66 g/cm³; uncorrected energy = -3.163 eV/atom; formation energy (no corrections) = 0.065 eV per atom
1.0
3.512 0.000 0.000
0.000 3.512 0.000
0.000 0.000 7.602
Sb Ga In
1 2 1
Direct
0.500 0.500 0.000
0.000 0.000 0.758
0.000 0.000 0.242
0.500 0.500 0.500